[1]
The following is a DFT calculation (PBE) of a geometry-optimized CrSi2Pt structure.

```
CrSi2Pt
1.0
-4.022 -0.475 0.461
0.294 -3.826 -1.377
0.455 -1.017 2.922
Cr Pt Si
1 1 2
Cartesian
-1.784 -0.746 1.691
0.374 -2.421 0.772
0.000 0.000 0.000
-1.864 -2.150 -0.458
```

## Properties
* raw total energy: -6.911 eV/atom
* energy relative to the elements, uncorrected: -284 meV per atom

***

[2]
The following is a DFT calculation (PBE) of a geometry-optimized Cr2SiPt structure.

```
Cr2SiPt
1.0
4.595 -0.030 0.000
1.466 4.355 0.000
-3.030 -2.162 2.693
Cr Pt Si
2 1 1
Cartesian
0.733 2.177 1.347
0.000 0.000 0.000
3.030 2.162 0.000
2.297 -0.015 1.347
```

## Properties
* raw total energy: -7.967 eV/atom
* energy relative to the elements, uncorrected: -289 meV per atom

***

[3]
The following is a DFT calculation (PBE) of a geometry-optimized Cr2SiPt structure.

```
Cr2SiPt
1.0
3.019 0.000 0.000
0.000 3.019 0.000
0.000 0.000 5.748
Cr Pt Si
2 1 1
Cartesian
1.509 1.509 1.220
0.000 0.000 0.026
0.000 0.000 2.982
1.509 1.509 4.395
```

## Properties
* raw total energy: -7.884 eV/atom
* energy relative to the elements, uncorrected: -207 meV per atom

***

[4]
The following is a DFT calculation (PBE) of a geometry-optimized CrSi3Pt structure.

```
CrSi3Pt
1.0
-1.232 4.008 1.284
0.209 -1.278 4.190
4.203 1.238 0.168
Si Cr Pt
3 1 1
Cartesian
-0.616 2.004 0.642
0.104 -0.639 2.095
2.102 0.619 0.084
0.000 0.000 0.000
1.590 1.984 2.821
```

## Properties
* E above lowest polymorph: 0.000 eV per atom
* raw total energy: -5.856 eV/atom
* energy relative to the elements, uncorrected: 531 meV per atom

***

[5]
The following is a DFT calculation (PBE) of a geometry-optimized Cr2SiPt structure.

```
Cr2SiPt
1.0
-0.188 0.693 -3.581
2.888 -2.221 -0.582
0.396 -5.336 -1.054
Cr Si Pt
2 1 1
Cartesian
0.000 0.000 0.000
1.350 -0.764 -2.081
0.198 -2.668 -0.527
1.548 -3.432 -2.608
```

## Properties
* raw total energy: -7.999 eV/atom
* energy relative to the elements, uncorrected: -322 meV per atom

***

[6]
The following is a DFT calculation (PBE) of a geometry-optimized CrSi2Pt structure.

```
CrSi2Pt
1.0
-4.895 -0.622 -0.176
-1.961 -3.804 2.463
3.169 3.676 0.909
Cr Pt Si
1 1 2
Cartesian
-3.428 -2.213 1.144
-2.577 0.421 0.939
0.000 0.000 0.000
-1.110 -1.170 2.258
```

## Properties
* raw total energy: -6.855 eV/atom
* energy relative to the elements, uncorrected: -227 meV per atom

***

[7]
The following is a DFT calculation (PBE) of a geometry-optimized CrSi2Pt structure.

```
CrSi2Pt
1.0
8.050 0.021 0.012
7.557 2.774 0.012
7.557 1.353 2.421
Cr Si Pt
1 2 1
Cartesian
5.791 1.037 0.611
23.051 4.127 2.434
11.694 2.094 1.235
17.372 3.111 1.834
```

## Properties
* raw total energy: -6.808 eV/atom
* energy relative to the elements, uncorrected: -180 meV per atom

***

[8]
The following is a DFT calculation (PBE) of a geometry-optimized CrSi2Pt structure.

```
CrSi2Pt
1.0
-4.385 -1.407 1.696
3.067 0.544 3.792
-0.996 2.153 1.538
Cr Pt Si
1 1 2
Cartesian
-2.690 0.373 1.617
1.035 1.348 2.665
-0.659 -0.431 2.744
0.000 0.000 0.000
```

## Properties
* raw total energy: -6.704 eV/atom
* energy relative to the elements, uncorrected: -77 meV per atom

***

[9]
The following is a DFT calculation (PBE) of a geometry-optimized CrSi2Pt structure.

```
CrSi2Pt
1.0
2.681 0.022 0.000
-0.021 2.681 0.000
0.000 0.000 7.529
Pt Si Cr
1 2 1
Cartesian
1.330 1.351 5.573
0.000 0.000 0.009
1.330 1.351 2.000
0.000 0.000 3.711
```

## Properties
* raw total energy: -6.625 eV/atom
* energy relative to the elements, uncorrected: 3 meV per atom

***

[10]
The following is a DFT calculation (PBE) of a geometry-optimized Cr2SiPt structure.

```
Cr2SiPt
1.0
-4.085 5.331 0.968
-4.518 -2.682 -4.294
-5.388 0.150 0.214
Cr Si Pt
4 2 2
Cartesian
-11.480 2.483 -2.666
-7.356 1.053 -1.171
-4.385 2.929 0.103
-4.761 -0.868 -2.490
-7.104 -0.604 -2.871
-4.301 1.324 -1.663
0.000 0.000 0.000
-6.887 3.403 -0.241
```

## Properties
* raw total energy: -7.377 eV/atom
* energy relative to the elements, uncorrected: 301 meV per atom

***

[11]
The following is a DFT calculation (PBE) of a geometry-optimized Cr2SiPt structure.

```
Cr2SiPt
1.0
3.869 0.000 0.000
0.000 2.711 0.095
0.000 2.513 5.026
Cr Pt Si
2 1 1
Cartesian
0.000 2.509 4.839
0.000 2.616 2.747
1.934 1.306 1.280
1.934 3.918 3.841
```

## Properties
* raw total energy: -7.911 eV/atom
* energy relative to the elements, uncorrected: -234 meV per atom

***

[12]
The following is a DFT calculation (PBE) of a geometry-optimized Cr2SiPt structure.

```
Cr2SiPt
1.0
-1.618 1.199 3.422
-2.251 -1.318 -0.602
1.362 -4.252 2.134
Cr Si Pt
2 1 1
Cartesian
1.313 -4.271 2.117
-0.984 -0.608 2.052
-1.145 -3.528 2.999
-0.773 -3.002 0.687
```

## Properties
* raw total energy: -7.874 eV/atom
* energy relative to the elements, uncorrected: -196 meV per atom

***

[13]
The following is a DFT calculation (PBE) of a geometry-optimized CrSi2Pt structure.

```
CrSi2Pt
1.0
3.229 0.000 0.000
0.000 3.230 0.000
0.000 0.000 5.218
Si Cr Pt
2 1 1
Cartesian
0.000 0.000 5.144
1.614 1.615 1.453
0.000 0.000 2.327
1.614 1.615 4.121
```

## Properties
* raw total energy: -6.942 eV/atom
* energy relative to the elements, uncorrected: -314 meV per atom

***

[14]
The following is a DFT calculation (PBE) of a geometry-optimized CrSi2Pt structure.

```
CrSi2Pt
1.0
4.253 -0.019 0.012
3.372 2.591 0.012
1.135 0.383 4.875
Si Cr Pt
2 1 1
Cartesian
4.359 1.471 2.294
7.645 2.579 0.180
2.190 0.739 1.225
6.570 2.216 3.674
```

## Properties
* raw total energy: -6.857 eV/atom
* energy relative to the elements, uncorrected: -229 meV per atom

***

[15]
The following is a DFT calculation (PBE) of a geometry-optimized CrSi2Pt structure.

```
CrSi2Pt
1.0
-2.096 0.043 6.478
4.060 -5.296 1.349
2.990 -0.925 4.552
Si Cr Pt
4 2 2
Cartesian
-0.090 -0.866 5.463
4.028 -5.378 10.285
3.058 -3.537 2.683
2.912 -2.575 6.327
4.016 -4.424 4.907
0.982 -2.627 3.913
0.938 -1.754 7.472
0.000 0.000 0.000
```

## Properties
* raw total energy: -6.561 eV/atom
* energy relative to the elements, uncorrected: 66 meV per atom

***

[16]
The following is a DFT calculation (PBE) of a geometry-optimized Sm3CrSi2Pt9 structure.

```
Sm3CrSi2Pt9
1.0
-4.285 2.313 4.090
-1.237 -5.344 -3.218
3.745 -4.898 6.694
Si Pt Sm Cr
2 9 3 1
Cartesian
-1.577 -3.675 0.426
-0.200 -4.253 7.140
-2.143 1.156 2.045
-3.101 -4.271 2.001
-1.133 -2.331 7.909
0.065 -2.534 1.501
-1.843 -5.395 6.064
-0.644 -5.597 -0.344
-2.761 -1.515 0.436
1.323 -3.657 5.564
-0.618 -2.672 -1.609
0.000 0.000 0.000
-2.207 -1.628 3.552
0.430 -6.300 4.014
1.872 -2.449 3.347
```

## Properties
* raw total energy: -6.587 eV/atom
* energy relative to the elements, uncorrected: -654 meV per atom

***

[17]
The following is a DFT calculation (PBE) of a geometry-optimized Tb2CrSi4Pt3 structure.

```
Tb2CrSi4Pt3
1.0
-3.263 -1.925 1.609
1.068 -3.455 -1.966
5.611 -2.820 8.006
Pt Tb Cr Si
3 2 1 4
Cartesian
2.806 -1.410 4.003
1.245 -2.085 0.031
3.269 -3.425 7.797
4.747 -3.845 5.028
-0.234 -1.665 2.799
1.708 -4.100 3.825
0.000 0.000 0.000
2.584 -2.758 1.942
1.930 -2.752 5.886
-1.098 -2.690 -0.178
```

## Properties
* raw total energy: -6.841 eV/atom
* energy relative to the elements, uncorrected: -971 meV per atom

***

[18]
The following is a DFT calculation (PBE) of a geometry-optimized CrSiTePt2 structure.

```
CrSiTePt2
1.0
4.682 0.000 0.000
0.000 4.868 0.000
0.000 0.000 4.682
Cr Si Pt Te
1 1 2 1
Cartesian
0.000 0.000 0.000
2.341 2.434 2.341
2.341 0.000 0.000
0.000 0.000 2.341
0.000 2.434 0.000
```

## Properties
* E above lowest polymorph: 0.000 eV per atom
* raw total energy: -5.139 eV/atom
* energy relative to the elements, uncorrected: 915 meV per atom

***

[19]
The following is a DFT calculation (PBE) of a geometry-optimized CrSiTePt2 structure.

```
CrSiTePt2
1.0
4.490 0.000 0.000
0.000 5.268 0.000
0.000 0.000 4.490
Cr Te Pt Si
1 1 2 1
Cartesian
2.245 2.634 2.245
0.000 2.634 0.000
2.245 0.000 0.000
0.000 0.000 2.245
0.000 0.000 0.000
```

## Properties
* E above lowest polymorph: 0.017 eV per atom
* raw total energy: -5.122 eV/atom
* energy relative to the elements, uncorrected: 932 meV per atom

***

[20]
The following is a DFT calculation (PBE) of a geometry-optimized Th2CrSi4Pt3 structure.

```
Th2CrSi4Pt3
1.0
4.216 0.000 0.000
0.000 4.216 0.000
0.000 0.000 10.078
Th Pt Si Cr
2 3 4 1
Cartesian
0.000 2.108 7.560
2.108 0.000 2.518
0.000 0.000 5.039
2.108 0.000 8.863
0.000 2.108 1.215
2.108 2.108 0.000
0.000 0.000 0.000
0.000 2.108 3.678
2.108 0.000 6.400
2.108 2.108 5.039
```

## Properties
* raw total energy: -7.419 eV/atom
* energy relative to the elements, uncorrected: -991 meV per atom

***

[21]
The following is a DFT calculation (PBE) of a geometry-optimized Th2CrSi3Pt12 structure.

```
Th2CrSi3Pt12
1.0
-0.104 -6.361 -4.330
3.175 -6.235 3.205
-4.949 -5.449 2.245
Th Si Pt Cr
2 3 12 1
Cartesian
-1.152 -11.068 0.687
-0.726 -6.976 0.433
1.588 -3.117 1.602
-2.475 -2.724 1.123
-0.052 -3.180 -2.165
1.038 -9.799 2.125
-2.916 -8.245 -1.005
-1.151 -8.177 3.050
0.800 -12.980 -0.131
-0.300 -5.512 -1.977
1.456 -8.668 -0.488
-3.334 -9.376 1.608
-3.188 -12.595 -0.602
-2.678 -5.064 1.250
-1.578 -12.533 3.097
-0.727 -9.867 -1.931
1.310 -5.450 1.721
0.000 0.000 0.000
```

## Properties
* raw total energy: -6.810 eV/atom
* energy relative to the elements, uncorrected: -520 meV per atom

***

[22]
The following is a DFT calculation (PBE) of a geometry-optimized Tm2CrSi4Pt3 structure.

```
Tm2CrSi4Pt3
1.0
-0.430 -1.202 -3.848
3.177 -2.483 0.420
-6.301 -7.544 3.061
Si Pt Tm Cr
4 3 2 1
Cartesian
-4.221 -5.397 0.022
1.373 -1.842 -1.714
0.000 0.000 0.000
-0.706 -3.989 1.325
-3.151 -3.772 1.530
0.767 -2.224 0.609
-5.695 -7.162 0.738
-3.113 -6.869 2.494
-1.815 -2.517 -1.146
-1.777 -5.614 -0.183
```

## Properties
* raw total energy: -6.781 eV/atom
* energy relative to the elements, uncorrected: -942 meV per atom

***

[23]
The following is a DFT calculation (PBE) of a geometry-optimized U2CrSi4Pt3 structure.

```
U2CrSi4Pt3
1.0
4.140 0.000 0.000
0.000 4.140 0.000
0.000 0.000 10.012
Pt Cr U Si
3 1 2 4
Cartesian
0.000 2.070 1.248
2.070 0.000 8.764
0.000 0.000 5.006
2.070 2.070 5.006
2.070 0.000 2.500
0.000 2.070 7.511
2.070 2.070 0.000
2.070 0.000 6.353
0.000 0.000 0.000
0.000 2.070 3.659
```

## Properties
* raw total energy: -7.856 eV/atom
* energy relative to the elements, uncorrected: -655 meV per atom

***

[24]
The following is a DFT calculation (PBE) of a geometry-optimized Y2CrSi4Pt3 structure.

```
Y2CrSi4Pt3
1.0
-1.991 -0.992 -3.452
3.509 0.309 -2.112
1.912 -9.869 1.734
Y Si Pt Cr
2 4 3 1
Cartesian
3.188 -7.246 0.244
-0.517 -2.966 -1.292
0.759 -0.342 -2.782
0.218 -6.761 -0.625
2.453 -3.450 -0.423
0.000 0.000 0.000
1.997 -1.101 -0.836
0.673 -9.110 -0.212
0.956 -4.935 0.867
1.715 -5.277 -1.915
```

## Properties
* raw total energy: -7.206 eV/atom
* energy relative to the elements, uncorrected: -969 meV per atom

***

[25]
The following is a DFT calculation (PBE) of a geometry-optimized SmCrPt4 structure.

```
SmCrPt4
1.0
-1.350 -4.801 -2.009
3.832 -3.447 -1.532
0.902 -4.462 2.862
Pt Cr Sm
4 1 1
Cartesian
0.192 -6.219 0.345
2.796 -5.539 0.585
2.117 -7.952 -0.425
1.664 -5.710 -1.863
0.000 0.000 0.000
0.846 -3.177 -0.170
```

## Properties
* energy of formation from the pure elements: -0.5860 eV/atom
* raw total energy: -7.004 eV/atom

***

[26]
The following is a DFT calculation (PBE) of a geometry-optimized CrSnPt2 structure.

```
CrSnPt2
1.0
4.008 0.000 0.000
0.000 4.008 0.000
2.004 2.004 9.097
Pt Cr Sn
4 2 2
Cartesian
3.006 3.046 6.823
1.042 3.006 2.274
5.010 4.969 6.823
2.965 1.002 2.274
2.004 2.004 0.000
2.004 4.008 4.549
0.000 0.000 0.000
4.008 2.004 4.549
```

## Properties
* energy of formation from the pure elements: 0.0669 eV/atom
* raw total energy: -6.360 eV/atom